# PBE-GGA Tm2MgAg2, relaxed
data_Tm2MgAg2
_chemical_formula_sum 'Tm4 Mg2 Ag4'
_cell_length_a 7.876
_cell_length_b 7.876
_cell_length_c 3.826
_cell_angle_alpha 90.00
_cell_angle_beta 90.00
_cell_angle_gamma 90.00
_space_group_name_H-M_alt 'P 4/m b m'
_space_group_IT_number 127
_space_group_name_Hall '-P 4 2ab'
loop_
_atom_site_label
_atom_site_type_symbol
_atom_site_fract_x
_atom_site_fract_y
_atom_site_fract_z
Tm1 Tm 0.168 0.332 0.000
Mg1 Mg 0.000 0.000 0.500
Ag1 Ag 0.131 0.631 0.500
# Calculated volume   237 Å³/cell
# Size of the total moment   0.00 μB/f.u.
# Calculated formation energy   -1.3 eV/f.u.